Record 1
Here is In2CuBRh after structural relaxation from the Alexandria database. Energies are from GGA-PBE.

Summary:
formation energy from the elements	0.720	eV/atom

Cell lengths 4.983, 4.983, 3.709 Å; angles 90.00, 90.00, 90.00 degrees
Space group P4/mmm (No. 123)
Inequivalent atoms, fractional coordinates:
In 0.000 0.500 0.000 [2 per cell]
Cu 0.000 0.000 0.000 [1 per cell]
B 0.000 0.000 0.500 [1 per cell]
Rh 0.500 0.500 0.500 [1 per cell]



Record 2
Here is InCuBRu2 after structural relaxation from the Alexandria database. Energies are from GGA-PBE.

Summary:
formation energy from the elements	0.035	eV/atom

Cell lengths 4.171, 4.171, 3.984 Å; angles 90.00, 90.00, 90.00 degrees
Space group P4/mmm (No. 123)
Inequivalent atoms, fractional coordinates:
In 0.000 0.000 0.000 [1 per cell]
Cu 0.500 0.500 0.000 [1 per cell]
B 0.500 0.500 0.500 [1 per cell]
Ru 0.000 0.500 0.500 [2 per cell]



Record 3
Here is Cu2B3Ir4 after structural relaxation from the Alexandria database. Energies are from GGA-PBE.

Summary:
formation energy from the elements	-0.166	eV/atom

Cell lengths 2.831, 2.864, 25.691 Å; angles 90.00, 90.00, 90.00 degrees
Space group Amm2 (No. 38)
Inequivalent atoms, fractional coordinates:
Cu 0.000 0.000 0.000 [2 per cell]
Cu 0.500 0.000 0.443 [2 per cell]
B 0.000 0.000 0.106 [2 per cell]
B 0.500 0.000 0.339 [2 per cell]
B 0.500 0.000 0.732 [2 per cell]
Ir 0.000 0.000 0.271 [2 per cell]
Ir 0.000 0.000 0.871 [2 per cell]
Ir 0.500 0.000 0.170 [2 per cell]
Ir 0.500 0.000 0.571 [2 per cell]



Record 4
Here is CuB2Ir after structural relaxation from the Alexandria database. Energies are from GGA-PBE.

Summary:
formation energy from the elements	0.670	eV/atom
relative energy among the computed polymorphs	149	meV/atom

Cell lengths 2.7647, 2.7647, 21.3694 Å; angles 90.00, 90.00, 120.00 degrees
Space group R-3m (No. 166, hexagonal axes)
Inequivalent atoms, fractional coordinates:
Cu 0.0000 0.0000 0.0000 [3 per cell]
B 0.0000 0.0000 0.0945 [6 per cell]
Ir 0.0000 0.0000 0.5000 [3 per cell]



Record 5
Here is CuB2Ir after structural relaxation from the Alexandria database. Energies are from GGA-PBE.

Summary:
formation energy from the elements	0.520	eV/atom
relative energy among the computed polymorphs	0	meV/atom

Cell lengths 4.683, 4.683, 9.603 Å; angles 90.00, 90.00, 90.00 degrees
Space group I-42d (No. 122)
Inequivalent atoms, fractional coordinates:
Cu 0.000 0.000 0.000 [4 per cell]
B 0.235 0.250 0.625 [8 per cell]
Ir 0.000 0.000 0.500 [4 per cell]



Record 6
Here is CuB3Ir after structural relaxation from the Alexandria database. Energies are from GGA-PBE.

Summary:
formation energy from the elements	1.059	eV/atom
relative energy among the computed polymorphs	0	meV/atom

Cell lengths 4.088, 4.088, 4.088 Å; angles 90.00, 90.00, 90.00 degrees
Space group Pm-3m (No. 221)
Inequivalent atoms, fractional coordinates:
Cu 0.000 0.000 0.000 [1 per cell]
B 0.000 0.500 0.500 [3 per cell]
Ir 0.500 0.500 0.500 [1 per cell]



Record 7
Here is CuB3Ir after structural relaxation from the Alexandria database. Energies are from GGA-PBE.

Summary:
formation energy from the elements	1.654	eV/atom
relative energy among the computed polymorphs	596	meV/atom

Cell lengths 3.768, 3.768, 3.768 Å; angles 90.00, 90.00, 90.00 degrees
Space group Pm-3m (No. 221)
Inequivalent atoms, fractional coordinates:
Cu 0.000 0.000 0.000 [1 per cell]
B 0.000 0.000 0.500 [3 per cell]
Ir 0.500 0.500 0.500 [1 per cell]



Record 8
Here is Cu3BIr after structural relaxation from the Alexandria database. Energies are from GGA-PBE.

Summary:
formation energy from the elements	0.486	eV/atom
relative energy among the computed polymorphs	0	meV/atom

Cell lengths 3.913, 3.913, 3.913 Å; angles 90.00, 90.00, 90.00 degrees
Space group Pm-3m (No. 221)
Inequivalent atoms, fractional coordinates:
Cu 0.000 0.000 0.500 [3 per cell]
B 0.000 0.000 0.000 [1 per cell]
Ir 0.500 0.500 0.500 [1 per cell]